Entry 1:
Compound: PrTeO4
Source: Alexandria
Functional: GGA-PBE
Structure: relaxed Values from VASP.

Structure (Quantum ESPRESSO input):
```
&SYSTEM
  ibrav = 0, nat = 12, ntyp = 3
/
ATOMIC_SPECIES
Pr 140.91 Pr.upf
Te 127.60 Te.upf
O 16.00 O.upf
CELL_PARAMETERS angstrom
7.3291 0.0000 0.0000
0.0000 7.3291 0.0000
0.0000 0.0000 3.4234
ATOMIC_POSITIONS angstrom
Pr 0.0000 0.0000 0.0000
Pr 3.6645 3.6645 1.7117
Te 0.0000 3.6645 2.5676
Te 3.6645 0.0000 0.8559
O 0.2586 5.4526 1.8347
O 1.7880 3.4059 3.3004
O 1.8765 0.2586 1.5887
O 3.4059 5.5410 0.1230
O 3.9231 1.7880 0.1230
O 5.4526 7.0705 1.5887
O 5.5410 3.9231 3.3004
O 7.0705 1.8765 1.8347
```

## Properties
Size of the total moment   0.0 μB/cell
VASP energy   -6.261 eV per atom
Space-group type   I-4
ΔE to the lowest computed polymorph   27.7 kJ per mole of atoms

Entry 2:
Compound: CeY2ScS4
Source: Alexandria
Functional: GGA-PBE
Structure: relaxed Values from VASP.

Structure (Quantum ESPRESSO input):
```
&SYSTEM
  ibrav = 0, nat = 8, ntyp = 4
/
ATOMIC_SPECIES
Ce 140.12 Ce.upf
Y 88.91 Y.upf
Sc 44.96 Sc.upf
S 32.06 S.upf
CELL_PARAMETERS angstrom
6.7402 0.0000 0.0000
0.0000 3.8801 0.0000
-2.2326 0.0000 6.3921
ATOMIC_POSITIONS angstrom
Ce 0.0000 0.0000 0.0000
Y 2.2538 0.0000 3.1960
Y 3.3701 1.9401 0.0000
Sc -1.1163 1.9401 3.1960
S -0.0140 0.0000 4.7065
S 1.1058 1.9401 1.6730
S 3.4018 1.9401 4.7190
S 4.5216 0.0000 1.6855
```

## Properties
Size of the total moment   0.6 μB/cell
VASP energy   -7.168 eV per atom
Space-group type   P2/m

Entry 3:
Compound: Th2ZnPd
Source: Alexandria
Functional: GGA-PBE
Structure: relaxed Values from VASP.

Structure (Quantum ESPRESSO input):
```
&SYSTEM
  ibrav = 0, nat = 4, ntyp = 3
/
ATOMIC_SPECIES
Th 232.04 Th.upf
Zn 65.41 Zn.upf
Pd 106.42 Pd.upf
CELL_PARAMETERS angstrom
3.7136 0.0000 0.0000
0.0000 3.7136 0.0000
0.0000 0.0000 7.0433
ATOMIC_POSITIONS angstrom
Th 0.0000 0.0000 1.7329
Th 0.0000 0.0000 5.3104
Zn 1.8568 1.8568 3.5217
Pd 1.8568 1.8568 0.0000
```

## Properties
Size of the total moment   0.0 μB/cell
VASP energy   -5.734 eV per atom
Space-group type   P4/mmm
ΔE to the lowest computed polymorph   4.7 kJ per mole of atoms

Entry 4:
Compound: Li2PaPdO4
Source: Alexandria
Functional: GGA-PBE
Structure: relaxed Values from VASP.

Structure (Quantum ESPRESSO input):
```
&SYSTEM
  ibrav = 0, nat = 16, ntyp = 4
/
ATOMIC_SPECIES
Li 6.94 Li.upf
Pa 231.04 Pa.upf
Pd 106.42 Pd.upf
O 16.00 O.upf
CELL_PARAMETERS angstrom
4.4316 0.0000 0.0000
0.0000 4.4316 0.0000
0.0000 0.0000 9.5231
ATOMIC_POSITIONS angstrom
Li 0.0000 0.0000 0.0000
Li 0.0000 2.2158 2.3808
Li 2.2158 0.0000 7.1423
Li 2.2158 2.2158 4.7616
Pa 0.0000 2.2158 7.1423
Pa 2.2158 0.0000 2.3808
Pd 0.0000 0.0000 4.7616
Pd 2.2158 2.2158 0.0000
O 0.0000 0.0000 2.0584
O 0.0000 0.0000 7.4647
O 0.0000 2.2158 4.9545
O 0.0000 2.2158 9.3302
O 2.2158 0.0000 0.1929
O 2.2158 0.0000 4.5686
O 2.2158 2.2158 2.7032
O 2.2158 2.2158 6.8199
```

## Properties
Size of the total moment   0.0 μB/cell
VASP energy   -7.021 eV per atom
Space-group type   I-4m2

Entry 5:
Compound: ZrIrW2
Source: Alexandria
Functional: GGA-PBE
Structure: relaxed Values from VASP.

Structure (Quantum ESPRESSO input):
```
&SYSTEM
  ibrav = 0, nat = 12, ntyp = 3
/
ATOMIC_SPECIES
Zr 91.22 Zr.upf
Ir 192.22 Ir.upf
W 183.84 W.upf
CELL_PARAMETERS angstrom
2.8386 0.0000 0.0000
-1.4193 2.4583 0.0000
0.0000 0.0000 29.4712
ATOMIC_POSITIONS angstrom
Zr 0.0000 0.0000 0.0000
Zr 0.0000 1.6389 19.6475
Zr 1.4193 0.8194 9.8237
Ir 0.0000 0.0000 14.7356
Ir 0.0000 1.6389 4.9119
Ir 1.4193 0.8194 24.5593
W 0.0000 0.0000 7.1309
W 0.0000 0.0000 22.3403
W 0.0000 1.6389 12.5165
W 0.0000 1.6389 26.7784
W 1.4193 0.8194 2.6928
W 1.4193 0.8194 16.9547
```

## Properties
Size of the total moment   0.0 μB/cell
VASP energy   -10.633 eV per atom
Space-group type   R-3m
ΔE to the lowest computed polymorph   31.3 kJ per mole of atoms

Entry 6:
Compound: Ca3Hg4Au2
Source: Alexandria
Functional: GGA-PBE
Structure: relaxed Values from VASP.

Structure (Quantum ESPRESSO input):
```
&SYSTEM
  ibrav = 0, nat = 9, ntyp = 3
/
ATOMIC_SPECIES
Ca 40.08 Ca.upf
Hg 200.59 Hg.upf
Au 196.97 Au.upf
CELL_PARAMETERS angstrom
5.4972 0.0000 0.0000
2.7438 4.7790 0.0000
2.4742 0.2584 8.3394
ATOMIC_POSITIONS angstrom
Ca 0.0000 0.0000 0.0000
Ca 5.3714 4.7369 2.8656
Ca 5.3438 0.3005 5.4737
Hg 2.6142 3.1478 2.7700
Hg 5.2225 1.8582 8.3037
Hg 5.4927 3.1792 0.0356
Hg 8.1010 1.8896 5.5694
Au 5.3434 3.5183 5.6683
Au 5.3717 1.5192 2.6711
```

## Properties
Size of the total moment   0.0 μB/cell
VASP energy   -2.062 eV per atom
Space-group type   P-1
ΔE to the lowest computed polymorph   0.5 kJ per mole of atoms